A relaxed NaSnBiSb crystal. Source: Alexandria, functional GGA-PBE.

Values from the calculation:
Energy above the most stable polymorph in this dataset (meV per atom): 81
Total magnetic moment (μB per atom): 0.00
Space-group type: F-43m (216)
Formation energy without anion corrections (eV per atom): 0.006

a b c (Å): 5.4527 5.4527 5.4527
angles (deg): 60.00 60.00 60.00
Closest atoms and distances in Å follow each position.
Atoms (fractional coordinates):
Na: 0.0000 0.0000 0.0000  4 Bi 3.34, 4 Sb 3.34
Sn: 0.5000 0.5000 0.5000  4 Bi 3.34, 4 Sb 3.34
Bi: 0.7500 0.7500 0.7500  4 Sn 3.34, 4 Na 3.34
Sb: 0.2500 0.2500 0.2500  4 Sn 3.34, 4 Na 3.34